# KGePb

Crystalline KGePb at its relaxed geometry (PBE, Alexandria).

Structure (CIF):
```
data_KGePb
_chemical_formula_sum 'K4 Ge4 Pb4'
_space_group_name_H-M_alt 'P 1'
_space_group_IT_number 1
_cell_length_a 8.402
_cell_length_b 4.214
_cell_length_c 13.885
_cell_angle_alpha 90.00
_cell_angle_beta 121.75
_cell_angle_gamma 90.00
loop_
_space_group_symop_operation_xyz
'x,y,z'
loop_
_atom_site_label
_atom_site_type_symbol
_atom_site_fract_x
_atom_site_fract_y
_atom_site_fract_z
Pb1 Pb 0.503 0.000 0.289
Pb2 Pb 0.503 0.500 0.789
Pb3 Pb 0.756 0.000 0.972
Pb4 Pb 0.756 0.500 0.472
K1 K 0.483 0.000 0.566
K2 K 0.483 0.500 0.066
K3 K 0.099 0.000 0.695
K4 K 0.099 0.500 0.195
Ge1 Ge 0.076 0.000 0.939
Ge2 Ge 0.076 0.500 0.439
Ge3 Ge 0.880 0.000 0.341
Ge4 Ge 0.880 0.500 0.841
```

Properties
The calculation puts the formation energy from the elements at -68.9 meV/atom. As for the energy above the most stable polymorph in this dataset: 50 meV per atom. Its density of states at the Fermi level is 0.263 states/eV/atom. As for the space group: Cm. As for the total energy: -3.21 eV per atom.



# K2Ge2Pb

Crystalline K2Ge2Pb at its relaxed geometry (PBE, Alexandria).

Structure (CIF):
```
data_K2Ge2Pb
_chemical_formula_sum 'K4 Ge4 Pb2'
_space_group_name_H-M_alt 'P 1'
_space_group_IT_number 1
_cell_length_a 7.557
_cell_length_b 7.557
_cell_length_c 5.609
_cell_angle_alpha 90.00
_cell_angle_beta 90.00
_cell_angle_gamma 90.00
loop_
_space_group_symop_operation_xyz
'x,y,z'
loop_
_atom_site_label
_atom_site_type_symbol
_atom_site_fract_x
_atom_site_fract_y
_atom_site_fract_z
Pb1 Pb 0.000 0.000 0.000
Pb2 Pb 0.500 0.500 0.000
Ge1 Ge 0.387 0.887 0.000
Ge2 Ge 0.887 0.613 0.000
Ge3 Ge 0.613 0.113 0.000
Ge4 Ge 0.113 0.387 0.000
K1 K 0.186 0.686 0.500
K2 K 0.686 0.814 0.500
K3 K 0.814 0.314 0.500
K4 K 0.314 0.186 0.500
```

Properties
The calculation puts the formation energy from the elements at -44.5 meV/atom. As for the energy above the most stable polymorph in this dataset: 0 meV per atom. Its density of states at the Fermi level is 0.437 states/eV/atom. As for the space group: P4/mbm. As for the total energy: -3.07 eV per atom.